# HfPtAu3

A relaxed HfPtAu3 crystal (GGA-PBEsol, the Alexandria database).

The total DFT energy (no corrections) comes out at -22.5 eV/cell. The size of the total moment comes out at 0.00 μB per cell. For the distance to the lowest polymorph of the same formula, the calculation gives 37.0 kJ per mole of atoms. The calculation puts the energy of formation at 1.351 eV/atom.

The structure belongs to space group Pm-3m (No. 221); the cell edges are 4.974, 4.974 and 4.974 Å and the angles 90.00°, 90.00° and 90.00°. The asymmetric unit holds Hf at (0.000, 0.000, 0.000), Pt at (0.500, 0.500, 0.500) and Au at (0.000, 0.000, 0.500).